# La2TbSb (PBE, optimized geometry)
# D(E_F) in states/eV/cell: 3.89
# Polymorph energy (0 for the lowest one) in eV/atom: 0.0000
# Formation energy without anion corrections in eV per atom: -0.574
# Calculated total energy in eV per atom: -5.226
data_La2TbSb
_chemical_formula_sum 'La2 Tb1 Sb1'
_cell_length_a 4.8934
_cell_length_b 4.8934
_cell_length_c 5.0197
_cell_angle_alpha 90.00
_cell_angle_beta 90.00
_cell_angle_gamma 90.00
_symmetry_space_group_name_H-M 'P 4/m m m'
_symmetry_Int_Tables_number 123
_symmetry_space_group_name_Hall '-P 4 2'
loop_
_atom_site_label
_atom_site_type_symbol
_atom_site_fract_x
_atom_site_fract_y
_atom_site_fract_z
La1 La 0.0000 0.5000 0.0000
Tb1 Tb 0.0000 0.0000 0.5000
Sb1 Sb 0.5000 0.5000 0.5000